The following is a DFT calculation (GGA-PBE) of RbPt2O6 after structural relaxation.

Cell and atoms, written as extended XYZ:
```
9
Lattice="5.3424 0.0000 0.0000 -2.6712 4.6267 0.0000 0.0000 0.0000 6.2877" Properties=species:S:1:pos:R:3 pbc="T T T"
Rb 0.0000 0.0000 0.0000
Pt 0.0000 3.0845 3.1438
Pt 2.6712 1.5422 3.1438
O 3.2692 0.0000 2.0459
O 1.0366 1.7954 2.0459
O -1.6346 2.8312 2.0459
O 1.6346 2.8312 4.2417
O -1.0366 1.7954 4.2417
O 2.0732 0.0000 4.2417
```

Results
Uncorrected formation energy in eV per atom: -0.5792
Theoretical density in g/cm3: 6.108
Calculated volume in A^3/atom: 17.27
Space group: P-31m (162)


The following is a DFT calculation (GGA-PBE) of Mg3Te4 after structural relaxation.

Cell and atoms, written as extended XYZ:
```
7
Lattice="2.9821 -5.1652 0.0000 2.9821 5.1652 0.0000 0.0000 0.0000 6.0408" Properties=species:S:1:pos:R:3 pbc="T T T"
Mg 1.4911 2.5826 0.0000
Mg 2.9821 0.0000 0.0000
Mg 1.4911 -2.5826 0.0000
Te 0.0000 0.0000 1.5403
Te 0.0000 0.0000 4.5005
Te 2.9821 -1.7217 3.0204
Te 2.9821 1.7217 3.0204
```

Results
Uncorrected formation energy in eV per atom: -0.0037
Theoretical density in g/cm3: 5.205
Calculated volume in A^3/atom: 26.58
Space group: P6/mmm (191)


The following is a DFT calculation (GGA-PBE) of BaTlSnSb2 after structural relaxation.

Cell and atoms, written as extended XYZ:
```
10
Lattice="5.1215 0.0000 0.0000 2.5608 8.7729 1.0242 2.5608 2.3724 8.5808" Properties=species:S:1:pos:R:3 pbc="T T T"
Ba 7.6823 8.3363 7.0268
Ba 2.5608 2.8090 2.5782
Tl 5.1215 5.5718 6.9235
Tl 5.1215 5.5736 2.6815
Sn 2.5608 2.5875 6.7370
Sn 7.6823 8.5578 2.8680
Sb 5.1215 8.1177 4.4387
Sb 5.1215 3.0276 5.1663
Sb 7.6823 4.7334 8.7363
Sb 2.5608 6.4119 0.8687
```

Results
Uncorrected formation energy in eV per atom: -0.3952
Theoretical density in g/cm3: 6.266
Calculated volume in A^3/atom: 37.31
Space group: C2/m (12)


The following is a DFT calculation (GGA-PBE) of ZrBe2Ir2 after structural relaxation.

Cell and atoms, written as extended XYZ:
```
5
Lattice="3.8932 0.0000 0.0000 0.0000 3.8932 0.0000 1.9466 1.9466 4.7004" Properties=species:S:1:pos:R:3 pbc="T T T"
Be 3.8932 1.9466 2.3502
Be 1.9466 3.8932 2.3502
Ir 1.9466 1.9466 1.2876
Ir 3.8932 3.8932 3.4127
Zr 0.0000 0.0000 0.0000
```

Results
ΔH_f (0 K) in meV/atom: -453.2
Theoretical density in g/cm3: 11.507
Calculated volume in A^3/atom: 14.25
Space group: I4/mmm (139)